No. 1
Computed, not measured: a PBEsol-optimized structure of RuPtRh2 at the meta-GGA SCAN level of DFT.

Lattice parameters (Å, degrees): 2.6853 3.8069 5.3870 90.00 90.00 90.00
Closest atoms and distances in Å follow each position.
Positions (direct):
Ru (0.0000, 0.0000, 0.0000)  6 Rh 2.64-2.75, 2 Ru 2.69, 4 Pt 2.70
Pt (0.5000, 0.5000, 0.2540)  6 Rh 2.65-2.73, 2 Pt 2.69, 4 Ru 2.70
Rh (0.0000, 0.0000, 0.5105)  2 Ru 2.64-2.75, 6 Rh 2.69, 4 Pt 2.71
Rh (0.5000, 0.5000, 0.7616)  2 Pt 2.65-2.73, 4 Ru 2.66, 6 Rh 2.69

Output
The calculation puts the energy above the most stable polymorph in this dataset at 38 meV per atom. As for the space-group type: No. 25. The energy of formation is -0.01 eV per atom. Its volume is 55.1 Å³/cell.

=====

No. 2
Computed, not measured: a PBEsol-optimized structure of RuPtRh at the meta-GGA SCAN level of DFT.

Lattice parameters (Å, degrees): 2.6910 3.8149 8.0979 90.00 90.00 90.00
Closest atoms and distances in Å follow each position.
Positions (direct):
Ru (0.0000, 0.0000, 0.0000)  5 Rh 2.67-2.76, 5 Pt 2.69-2.70, 2 Ru 2.69
Ru (0.5000, 0.5000, 0.5000)  5 Rh 2.67-2.76, 5 Pt 2.69-2.70, 2 Ru 2.69
Pt (0.0000, 0.0000, 0.6680)  5 Rh 2.65-2.72, 5 Ru 2.69-2.70, 2 Pt 2.69
Pt (0.5000, 0.5000, 0.1680)  5 Rh 2.65-2.72, 5 Ru 2.69-2.70, 2 Pt 2.69
Rh (0.0000, 0.0000, 0.3408)  5 Pt 2.65-2.72, 5 Ru 2.67-2.76, 2 Rh 2.69
Rh (0.5000, 0.5000, 0.8408)  5 Pt 2.65-2.72, 5 Ru 2.67-2.76, 2 Rh 2.69

Output
The calculation puts the energy above the most stable polymorph in this dataset at 19 meV per atom. As for the space-group type: No. 44. The energy of formation is -0.03 eV per atom. Its volume is 83.1 Å³/cell.

=====

| no. | size of the total moment (μB/cell) |
| --- | --- |
| 1 | 0.00 |
| 2 | 0.00 |